# Rb3Cd2Hg2, optimized geometry, DFT PBE
# * crystal system: monoclinic
# * formation enthalpy at 0 K: -0.141 eV per atom
# * ρ: 4.80 g cm⁻³
# * total magnetic moment: 0.00 μB/cell
# * DOS at the Fermi energy: 0.666 states/eV per atom
data_Rb3Cd2Hg2
_chemical_formula_sum 'Rb6 Cd4 Hg4'
_cell_length_a 13.346
_cell_length_b 5.276
_cell_length_c 9.412
_cell_angle_alpha 90.00
_cell_angle_beta 112.85
_cell_angle_gamma 90.00
_space_group_name_H-M_alt 'C 1 2/m 1'
_space_group_IT_number 12
loop_
_space_group_symop_operation_xyz
'x,y,z'
'-x,-y,-z'
'-x,y,-z'
'x,-y,z'
'x+1/2,y+1/2,z'
'-x+1/2,-y+1/2,-z'
'-x+1/2,y+1/2,-z'
'x+1/2,-y+1/2,z'
loop_
_atom_site_label
_atom_site_type_symbol
_atom_site_fract_x
_atom_site_fract_y
_atom_site_fract_z
_atom_site_occupancy
Rb1 Rb 0.000 0.000 0.000 1
Rb2 Rb 0.185 0.000 0.630 1
Cd1 Cd 0.200 0.500 0.940 1
Hg1 Hg 0.014 0.500 0.340 1